Material: NdDy3Sc2Se6
Method: DFT, PBE
State: relaxed

CIF file:
```
data_NdDy3Sc2Se6
_cell_length_a 6.995
_cell_length_b 12.151
_cell_length_c 6.986
_cell_angle_alpha 90.00
_cell_angle_beta 109.51
_cell_angle_gamma 90.00
_symmetry_space_group_name_H-M 'C 1 2/m 1'
_symmetry_Int_Tables_number 12
loop_
_symmetry_equiv_pos_as_xyz
'x,y,z'
'-x,-y,-z'
'-x,y,-z'
'x,-y,z'
'x+1/2,y+1/2,z'
'-x+1/2,-y+1/2,-z'
'-x+1/2,y+1/2,-z'
'x+1/2,-y+1/2,z'
loop_
_atom_site_label
_atom_site_type_symbol
_atom_site_fract_x
_atom_site_fract_y
_atom_site_fract_z
Nd1 Nd 0.000 0.000 0.000
Dy1 Dy 0.000 0.156 0.500
Dy2 Dy 0.000 0.500 0.500
Sc1 Sc 0.000 0.336 0.000
Se1 Se 0.229 0.500 0.239
Se2 Se 0.242 0.324 0.753
```

Calculated values
DOS at the Fermi energy, states/eV/atom: 0.483
Crystal system: monoclinic
Electronic total energy, eV per atom: -6.042